Crystalline Ac2Si2Mo2C at its relaxed geometry. Source: the Alexandria database, functional PBE-GGA.

Results
ΔE_f (raw): -0.382 eV per atom

Lattice parameters (Å, degrees): 6.1717 6.1717 7.6686 123.04 123.04 38.67
Closest atoms and distances in Å follow each position.
Sites, in units of the cell vectors:
Ac 0.0719 0.0719 0.3084  2 C 2.86
Ac 0.9281 0.9281 0.6916  2 C 2.86
Si 0.3430 0.3430 0.2883  3 Mo 2.54-2.55
Si 0.6570 0.6570 0.7117  3 Mo 2.54-2.55
Mo 0.3019 0.3019 0.9251  1 C 2.03
Mo 0.6981 0.6981 0.0749  1 C 2.03
C 0.5000 0.5000 0.0000  2 Mo 2.03